Record 1
# TcTeRh2 | the Alexandria database | GGA-PBE | relaxed
data_TcTeRh2
_cell_length_a 3.0001
_cell_length_b 3.6991
_cell_length_c 5.8884
_cell_angle_alpha 90.00
_cell_angle_beta 90.00
_cell_angle_gamma 90.00
_space_group_name_H-M_alt 'P m m 2'
_space_group_IT_number 25
loop_
_space_group_symop_operation_xyz
'x,y,z'
'-x,-y,z'
'-x,y,z'
'x,-y,z'
loop_
_atom_site_label
_atom_site_type_symbol
_atom_site_fract_x
_atom_site_fract_y
_atom_site_fract_z
_atom_site_occupancy
Tc1 Tc 0.0000 0.0000 0.0000 1
Te1 Te 0.5000 0.5000 0.2979 1
Rh1 Rh 0.0000 0.0000 0.5421 1
Rh2 Rh 0.5000 0.5000 0.7965 1
# raw total energy: -6.846 eV/atom
# uncorrected formation energy: 207 meV per atom
# calculated volume: 16.337 A^3/atom
# M_tot: 0.000 μB/atom

Record 2
# CeMgCdHg | the Alexandria database | GGA-PBE | relaxed
data_CeMgCdHg
_cell_length_a 7.3258
_cell_length_b 7.3258
_cell_length_c 7.3258
_cell_angle_alpha 90.00
_cell_angle_beta 90.00
_cell_angle_gamma 90.00
_space_group_name_H-M_alt 'F -4 3 m'
_space_group_IT_number 216
_space_group_name_Hall 'F -4 2 3'
loop_
_atom_site_label
_atom_site_type_symbol
_atom_site_fract_x
_atom_site_fract_y
_atom_site_fract_z
_atom_site_occupancy
Ce1 Ce 0.0000 0.0000 0.0000 1
Mg1 Mg 0.0000 0.0000 0.5000 1
Cd1 Cd 0.2500 0.2500 0.7500 1
Hg1 Hg 0.2500 0.2500 0.2500 1
# raw total energy: -2.496 eV/atom
# calculated volume: 24.572 A^3/atom
# M_tot: 0.203 μB/atom
# formation energy from the elements: -310 meV per atom

Record 3
# KCdRu2I | the Alexandria database | GGA-PBE | relaxed
data_KCdRu2I
_cell_length_a 5.0215
_cell_length_b 5.0215
_cell_length_c 6.2475
_cell_angle_alpha 90.00
_cell_angle_beta 90.00
_cell_angle_gamma 90.00
_space_group_name_H-M_alt 'P 4/m m m'
_space_group_IT_number 123
_space_group_name_Hall '-P 4 2'
loop_
_atom_site_label
_atom_site_type_symbol
_atom_site_fract_x
_atom_site_fract_y
_atom_site_fract_z
_atom_site_occupancy
K1 K 0.0000 0.0000 0.0000 1
Cd1 Cd 0.5000 0.5000 0.0000 1
Ru1 Ru 0.0000 0.5000 0.5000 1
I1 I 0.0000 0.0000 0.5000 1
# raw total energy: -3.209 eV/atom
# uncorrected formation energy: 1214 meV per atom
# calculated volume: 31.506 A^3/atom
# M_tot: 0.723 μB/atom

Record 4
# BaLa3Pd | the Alexandria database | GGA-PBE | relaxed
data_BaLa3Pd
_cell_length_a 5.8960
_cell_length_b 5.8960
_cell_length_c 5.8960
_cell_angle_alpha 90.00
_cell_angle_beta 90.00
_cell_angle_gamma 90.00
_space_group_name_H-M_alt 'P m -3 m'
_space_group_IT_number 221
_space_group_name_Hall '-P 4 2 3'
loop_
_atom_site_label
_atom_site_type_symbol
_atom_site_fract_x
_atom_site_fract_y
_atom_site_fract_z
_atom_site_occupancy
Ba1 Ba 0.0000 0.0000 0.0000 1
La1 La 0.0000 0.5000 0.5000 1
Pd1 Pd 0.5000 0.5000 0.5000 1
# E above lowest polymorph: 0.0000 eV/atom
# raw total energy: -4.532 eV/atom
# calculated volume: 40.992 A^3/atom
# M_tot: 0.392 μB/atom
# formation energy from the elements: -153 meV per atom

Record 5
# Sm7GaI12 | the Alexandria database | GGA-PBE | relaxed
data_Sm7GaI12
_cell_length_a 15.9886
_cell_length_b 15.9886
_cell_length_c 10.6297
_cell_angle_alpha 90.00
_cell_angle_beta 90.00
_cell_angle_gamma 120.00
_space_group_name_H-M_alt 'R -3'
_space_group_IT_number 148
_space_group_name_Hall '-R 3'
loop_
_atom_site_label
_atom_site_type_symbol
_atom_site_fract_x
_atom_site_fract_y
_atom_site_fract_z
_atom_site_occupancy
Sm1 Sm 0.0000 0.0000 0.0000 1
Sm2 Sm 0.0468 0.8824 0.3464 1
Ga1 Ga 0.0000 0.0000 0.5000 1
I1 I 0.0222 0.4349 0.1655 1
I2 I 0.0519 0.8675 0.8392 1
# raw total energy: -3.980 eV/atom
# uncorrected formation energy: -1247 meV per atom
# calculated volume: 39.221 A^3/atom
# M_tot: 0.000 μB/atom

Record 6
# TbPrIr | the Alexandria database | GGA-PBE | relaxed
data_TbPrIr
_cell_length_a 6.5464
_cell_length_b 6.5495
_cell_length_c 8.0681
_cell_angle_alpha 90.00
_cell_angle_beta 113.80
_cell_angle_gamma 90.00
_space_group_name_H-M_alt 'C 1 2/m 1'
_space_group_IT_number 12
loop_
_space_group_symop_operation_xyz
'x,y,z'
'-x,-y,-z'
'-x,y,-z'
'x,-y,z'
'x+1/2,y+1/2,z'
'-x+1/2,-y+1/2,-z'
'-x+1/2,y+1/2,-z'
'x+1/2,-y+1/2,z'
loop_
_atom_site_label
_atom_site_type_symbol
_atom_site_fract_x
_atom_site_fract_y
_atom_site_fract_z
_atom_site_occupancy
Tb1 Tb 0.2500 0.2500 0.0000 1
Pr1 Pr 0.1868 0.0000 0.3739 1
Ir1 Ir 0.1229 0.5000 0.2481 1
# E above lowest polymorph: 0.0598 eV/atom
# raw total energy: -6.612 eV/atom
# calculated volume: 26.375 A^3/atom
# M_tot: 0.000 μB/atom
# formation energy from the elements: -522 meV per atom

Record 7
# Ca2ZrW | the Alexandria database | GGA-PBE | relaxed
data_Ca2ZrW
_cell_length_a 9.7591
_cell_length_b 3.0801
_cell_length_c 6.9504
_cell_angle_alpha 90.00
_cell_angle_beta 93.08
_cell_angle_gamma 90.00
_space_group_name_H-M_alt 'C 1 m 1'
_space_group_IT_number 8
loop_
_space_group_symop_operation_xyz
'x,y,z'
'x,-y,z'
'x+1/2,y+1/2,z'
'x+1/2,-y+1/2,z'
loop_
_atom_site_label
_atom_site_type_symbol
_atom_site_fract_x
_atom_site_fract_y
_atom_site_fract_z
_atom_site_occupancy
Ca1 Ca 0.0000 0.0000 0.0000 1
Ca2 Ca 0.2369 0.0000 0.6805 1
Zr1 Zr 0.2525 0.5000 0.2693 1
W1 W 0.4892 0.0000 0.4081 1
# E above lowest polymorph: 0.2422 eV/atom
# raw total energy: -5.746 eV/atom
# calculated volume: 26.077 A^3/atom
# M_tot: 0.000 μB/atom
# formation energy from the elements: 630 meV per atom

Record 8
# Zr2CdN | the Alexandria database | GGA-PBE | relaxed
data_Zr2CdN
_cell_length_a 3.2428
_cell_length_b 3.2428
_cell_length_c 7.8864
_cell_angle_alpha 90.00
_cell_angle_beta 90.00
_cell_angle_gamma 120.00
_space_group_name_H-M_alt 'P -6 m 2'
_space_group_IT_number 187
_space_group_name_Hall 'P -6 2'
loop_
_atom_site_label
_atom_site_type_symbol
_atom_site_fract_x
_atom_site_fract_y
_atom_site_fract_z
_atom_site_occupancy
Zr1 Zr 0.0000 0.0000 0.1793 1
Cd1 Cd 0.3333 0.6667 0.5000 1
N1 N 0.6667 0.3333 0.0000 1
# E above lowest polymorph: 0.3299 eV/atom
# raw total energy: -7.201 eV/atom
# uncorrected formation energy: -617 meV per atom
# calculated volume: 17.957 A^3/atom
# M_tot: 0.000 μB/atom

Record 9
# Cs4IO5 | the Alexandria database | GGA-PBE | relaxed
data_Cs4IO5
_cell_length_a 9.0760
_cell_length_b 9.0760
_cell_length_c 6.1587
_cell_angle_alpha 90.00
_cell_angle_beta 90.00
_cell_angle_gamma 90.00
_space_group_name_H-M_alt 'I 4'
_space_group_IT_number 79
loop_
_space_group_symop_operation_xyz
'x,y,z'
'-y,x,z'
'-x,-y,z'
'y,-x,z'
'x+1/2,y+1/2,z+1/2'
'-y+1/2,x+1/2,z+1/2'
'-x+1/2,-y+1/2,z+1/2'
'y+1/2,-x+1/2,z+1/2'
loop_
_atom_site_label
_atom_site_type_symbol
_atom_site_fract_x
_atom_site_fract_y
_atom_site_fract_z
_atom_site_occupancy
Cs1 Cs 0.1061 0.7051 0.0000 1
I1 I 0.0000 0.0000 0.5200 1
O1 O 0.0000 0.0000 0.8228 1
O2 O 0.0681 0.7922 0.4941 1
# raw total energy: -4.069 eV/atom
# uncorrected formation energy: -1094 meV per atom
# calculated volume: 25.365 A^3/atom
# M_tot: 0.101 μB/atom

Record 10
# SnTe2Mo | the Alexandria database | GGA-PBE | relaxed
data_SnTe2Mo
_cell_length_a 3.1105
_cell_length_b 3.1105
_cell_length_c 37.6355
_cell_angle_alpha 90.00
_cell_angle_beta 90.00
_cell_angle_gamma 120.00
_space_group_name_H-M_alt 'R -3 m'
_space_group_IT_number 166
_space_group_name_Hall '-R 3 2"'
loop_
_atom_site_label
_atom_site_type_symbol
_atom_site_fract_x
_atom_site_fract_y
_atom_site_fract_z
_atom_site_occupancy
Sn1 Sn 0.0000 0.0000 0.0000 1
Te1 Te 0.0000 0.0000 0.4272 1
Mo1 Mo 0.0000 0.0000 0.5000 1
# E above lowest polymorph: 0.6238 eV/atom
# raw total energy: -4.641 eV/atom
# uncorrected formation energy: 638 meV per atom
# calculated volume: 26.280 A^3/atom
# M_tot: 0.096 μB/atom

Record 11
# Hf5Ti2In4 | the Alexandria database | GGA-PBE | relaxed
data_Hf5Ti2In4
_cell_length_a 3.1292
_cell_length_b 9.7631
_cell_length_c 17.0497
_cell_angle_alpha 90.00
_cell_angle_beta 90.00
_cell_angle_gamma 90.00
_space_group_name_H-M_alt 'I m m m'
_space_group_IT_number 71
_space_group_name_Hall '-I 2 2'
loop_
_atom_site_label
_atom_site_type_symbol
_atom_site_fract_x
_atom_site_fract_y
_atom_site_fract_z
_atom_site_occupancy
Hf1 Hf 0.0000 0.0000 0.0000 1
Hf2 Hf 0.0000 0.2122 0.3202 1
Ti1 Ti 0.0000 0.5000 0.2711 1
In1 In 0.0000 0.2379 0.5000 1
In2 In 0.0000 0.5000 0.0894 1
# E above lowest polymorph: 0.2634 eV/atom
# raw total energy: -6.695 eV/atom
# calculated volume: 23.676 A^3/atom
# M_tot: 0.000 μB/atom
# formation energy from the elements: 260 meV per atom

Record 12
# CoTe2Rh | the Alexandria database | GGA-PBE | relaxed
data_CoTe2Rh
_cell_length_a 3.8528
_cell_length_b 3.7768
_cell_length_c 5.3808
_cell_angle_alpha 90.00
_cell_angle_beta 90.71
_cell_angle_gamma 90.00
_space_group_name_H-M_alt 'P 1 2/m 1'
_space_group_IT_number 10
loop_
_space_group_symop_operation_xyz
'x,y,z'
'-x,-y,-z'
'-x,y,-z'
'x,-y,z'
loop_
_atom_site_label
_atom_site_type_symbol
_atom_site_fract_x
_atom_site_fract_y
_atom_site_fract_z
_atom_site_occupancy
Co1 Co 0.0000 0.0000 0.0000 1
Te1 Te 0.0000 0.0000 0.5000 1
Te2 Te 0.5000 0.5000 0.0000 1
Rh1 Rh 0.5000 0.5000 0.5000 1
# raw total energy: -5.105 eV/atom
# uncorrected formation energy: 80 meV per atom
# calculated volume: 19.573 A^3/atom
# M_tot: 0.225 μB/atom